Here is a geometry-optimized LaNd3Al structure from Alexandria. Energies are from PBE.

Cell: 10.552 9.729 6.458 Å, 90.00 90.00 90.00°
Space group Ama2 (No. 40)
Inequivalent atoms, fractional coordinates:
1 La 0.250 0.137 0.000
2 Nd 0.068 0.310 0.637
3 Nd 0.250 0.496 0.993
4 Al 0.000 0.000 0.745

Properties
magnetic moment: 0.00 μB/f.u.
DFT total energy: -4.59 eV/atom

Here is a geometry-optimized Si2PdCl2 structure from Alexandria. Energies are from PBE.

Cell: 3.428 3.428 16.030 Å, 90.00 90.00 90.00°
Space group I4/mmm (No. 139)
Inequivalent atoms, fractional coordinates:
1 Si 0.000 0.500 0.250
2 Pd 0.000 0.000 0.000
3 Cl 0.000 0.000 0.398

Properties
formation energy from raw total energies: 278 meV per atom
magnetic moment: 0.34 μB/f.u.

Here is a geometry-optimized Sm2MgTl2 structure from Alexandria. Energies are from PBE.

Cell: 4.943 17.435 6.593 Å, 90.00 90.00 90.00°
Space group Cmc2_1 (No. 36)
Inequivalent atoms, fractional coordinates:
1 Sm 0.000 0.011 0.000
2 Sm 0.000 0.200 0.409
3 Mg 0.000 0.390 0.222
4 Tl 0.000 0.188 0.894
5 Tl 0.000 0.417 0.758

Properties
magnetic moment: 0.00 μB/f.u.
DFT total energy: -3.41 eV/atom

Here is a geometry-optimized Na2Ta2Fe structure from Alexandria. Energies are from PBE.

Cell: 6.132 6.132 5.802 Å, 90.00 90.00 90.00°
Space group P4/mbm (No. 127)
Inequivalent atoms, fractional coordinates:
1 Na 0.179 0.321 0.000
2 Ta 0.157 0.657 0.500
3 Fe 0.000 0.000 0.500

Properties
magnetic moment: 0.00 μB/f.u.
DFT total energy: -6.11 eV/atom

Here is a geometry-optimized K2ZnSe structure from Alexandria. Energies are from PBE.

Cell: 4.579 4.600 6.581 Å, 90.00 90.00 90.00°
Space group Pmm2 (No. 25)
Inequivalent atoms, fractional coordinates:
1 K 0.000 0.000 0.000
2 K 0.500 0.500 0.377
3 Zn 0.500 0.500 0.830
4 Se 0.000 0.000 0.516

Properties
formation energy from raw total energies: -392 meV per atom
magnetic moment: 0.00 μB/f.u.

Here is a geometry-optimized ThB2Rh8 structure from Alexandria. Energies are from PBE.

Cell: 7.257 10.400 4.297 Å, 90.00 103.17 90.00°
Space group C2/m (No. 12)
Inequivalent atoms, fractional coordinates:
1 Th 0.000 0.000 0.000
2 B 0.000 0.314 0.500
3 Rh 0.000 0.270 0.000
4 Rh 0.101 0.500 0.788
5 Rh 0.196 0.136 0.584

Properties
magnetic moment: 0.00 μB/f.u.
DFT total energy: -7.48 eV/atom

Here is a geometry-optimized CoSi2P structure from Alexandria. Energies are from PBE.

Cell: 4.840 8.609 3.503 Å, 90.00 133.06 90.00°
Space group C2/m (No. 12)
Inequivalent atoms, fractional coordinates:
1 Co 0.000 0.000 0.000
2 Si 0.250 0.250 0.500
3 P 0.000 0.500 0.000

Properties
formation energy from raw total energies: 162 meV per atom
magnetic moment: 0.00 μB/f.u.

Here is a geometry-optimized La8Ge3I4N structure from Alexandria. Energies are from PBE.

Cell: 8.5882 8.5882 23.8594 Å, 90.00 90.00 120.00°
Space group R-3m (No. 166, hexagonal axes)
Inequivalent atoms, fractional coordinates:
1 La 0.0000 0.0000 0.2347
2 La 0.0341 0.5170 0.2292
3 Ge 0.0000 0.5000 0.5000
4 I 0.0000 0.0000 0.0000
5 I 0.0000 0.5000 0.0000
6 N 0.0000 0.0000 0.5000

Properties
formation energy from raw total energies: -1109 meV per atom
magnetic moment: 0.00 μB/f.u.

Here is a geometry-optimized MnNbGe2 structure from Alexandria. Energies are from PBE.

Cell: 6.207 6.207 6.207 Å, 90.00 90.00 90.00°
Space group Fm-3m (No. 225)
Inequivalent atoms, fractional coordinates:
1 Mn 0.000 0.000 0.000
2 Nb 0.000 0.000 0.500
3 Ge 0.250 0.250 0.250

Properties
magnetic moment: 0.00 μB/f.u.
DFT total energy: -6.97 eV/atom

Here is a geometry-optimized CdReTe structure from Alexandria. Energies are from PBE.

Cell: 6.455 6.455 6.455 Å, 90.00 90.00 90.00°
Space group F-43m (No. 216)
Inequivalent atoms, fractional coordinates:
1 Cd 0.000 0.000 0.000
2 Re 0.250 0.250 0.250
3 Te 0.000 0.000 0.500

Properties
formation energy from raw total energies: 799 meV per atom
magnetic moment: 0.00 μB/f.u.

Here is a geometry-optimized TiCdGa structure from Alexandria. Energies are from PBE.

Cell: 3.0001 3.0001 14.1795 Å, 90.00 90.00 120.00°
Space group P-6m2 (No. 187)
Inequivalent atoms, fractional coordinates:
1 Ti 0.0000 0.0000 0.0000
2 Ti 0.3333 0.6667 0.5000
3 Cd 0.0000 0.0000 0.3261
4 Ga 0.3333 0.6667 0.1532

Properties
magnetic moment: 0.02 μB/f.u.
DFT total energy: -4.00 eV/atom

Here is a geometry-optimized Ho2Al5Pt structure from Alexandria. Energies are from PBE.

Cell: 5.951 5.951 8.460 Å, 90.00 90.00 90.00°
Space group I4/mmm (No. 139)
Inequivalent atoms, fractional coordinates:
1 Ho 0.000 0.500 0.000
2 Al 0.000 0.000 0.000
3 Al 0.250 0.250 0.250
4 Pt 0.000 0.000 0.500

Properties
magnetic moment: 0.00 μB/f.u.
DFT total energy: -4.80 eV/atom

magnetic moment of number 12 (Ho2Al5Pt)? 0.00 μB/f.u.